Entry from Alexandria via LeMat-Bulk: crystalline PuFeCo2O6 at its relaxed geometry (PBE+U).

Properties
Space-group type: R3, No. 146
Uncorrected energy (Ry/atom): -0.5658
Density of states at the Fermi level (states/eV/f.u.): 10.4

Cell: 5.2941 5.2944 5.6844 Å, 62.25 62.25 60.00°
Each line ends with the local moment (μB).
Fractional positions:
1 Pu 0.3175 0.3175 0.0474  -3.21
2 Fe 0.8154 0.8154 0.5539  4.32
3 Co 0.5266 0.5266 0.4202  2.72
4 Co 0.0208 0.0207 0.9377  2.71
5 O 0.6149 0.2102 0.2631  0.21
6 O 0.2102 0.9118 0.2631  0.21
7 O 0.9118 0.6150 0.2630  0.21
8 O 0.4273 0.7194 0.7556  0.21
9 O 0.7195 0.0978 0.7555  0.21
10 O 0.0977 0.4272 0.7556  0.21